## w
First-principles (PBE) data for a relaxed Ni2HBr crystal, as listed in the Alexandria database.

Cell: 5.7268 5.7268 5.7268 Å, 132.50 132.50 69.44°
Closest atoms and distances in Å follow each position.
Positions (direct):
Ni 0.9996 0.6250 0.8746  2 H 1.75
Ni 0.3750 0.2496 0.3746  2 H 1.75
Ni 0.7504 0.1250 0.1254  2 H 1.75
Ni 0.8750 0.0004 0.6254  2 H 1.75
H 0.0000 0.0000 0.0000  4 Ni 1.75
H 0.7500 0.2500 0.5000  4 Ni 1.75
Br 0.2500 0.7500 0.5000  4 Ni 2.39
Br 0.5000 0.5000 0.0000  4 Ni 2.39

Output
- volume (A^3/atom) = 12.519
- density (g/cm³) = 6.575

---

## x
First-principles (PBE) data for a relaxed Ni2HBr crystal, as listed in the Alexandria database.

Cell: 4.0557 4.0557 4.0557 Å, 60.00 60.00 60.00°
Closest atoms and distances in Å follow each position.
Positions (direct):
Ni 0.2500 0.2500 0.2500  4 H 2.48, 4 Br 2.48
Ni 0.7500 0.7500 0.7500  4 H 2.48, 4 Br 2.48
H 0.0000 0.0000 0.0000  8 Ni 2.48
Br 0.5000 0.5000 0.5000  8 Ni 2.48

Output
- volume (A^3/atom) = 11.793
- density (g/cm³) = 6.980

---

Which is most stable, and by how much? w, by 604 meV/atom.

---

## w
First-principles (PBE) data for a relaxed NiH2Br crystal, as listed in the Alexandria database.

Cell: 5.1355 5.1355 5.1355 Å, 120.07 120.07 89.88°
Closest atoms and distances in Å follow each position.
Positions (direct):
Ni 0.0000 0.0000 0.0000  4 H 1.57
Ni 0.7500 0.2500 0.5000  4 H 1.57
H 0.3750 0.1230 0.2480  2 Ni 1.57
H 0.8730 0.6250 0.7480  2 Ni 1.57
H 0.8750 0.1270 0.7520  2 Ni 1.57
H 0.8770 0.1250 0.2520  2 Ni 1.57
Br 0.2500 0.7500 0.5000  12 H 3.00-3.02, 4 Br 3.14, 4 Ni 3.14
Br 0.5000 0.5000 0.0000  12 H 3.00-3.02, 4 Br 3.14, 4 Ni 3.14

Output
- volume (A^3/atom) = 11.959
- density (g/cm³) = 4.881

---

## x
First-principles (PBE) data for a relaxed NiH2Br crystal, as listed in the Alexandria database.

Cell: 3.8510 3.8510 3.8510 Å, 60.00 60.00 60.00°
Closest atoms and distances in Å follow each position.
Positions (direct):
Ni 0.0000 0.0000 0.0000  8 H 2.36
H 0.2500 0.2500 0.2500  4 Br 2.36, 4 Ni 2.36
H 0.7500 0.7500 0.7500  4 Br 2.36, 4 Ni 2.36
Br 0.5000 0.5000 0.5000  8 H 2.36

Output
- volume (A^3/atom) = 10.096
- density (g/cm³) = 5.782

---

Which is most stable, and by how much? w, by 708 meV/atom.

---

## w
First-principles (PBE) data for a relaxed Rb2HBrO crystal, as listed in the Alexandria database.

Cell: 5.6537 5.6537 4.5532 Å, 90.00 90.00 90.00°
Closest atoms and distances in Å follow each position.
Positions (direct):
Rb 0.0000 0.5000 0.0000  2 O 2.87, 2 H 3.17
Rb 0.5000 0.0000 0.0000  2 O 2.87, 2 H 3.17
H 0.0000 0.0000 0.3166  1 O 0.98
Br 0.5000 0.5000 0.5114  8 Rb 3.60-3.66
O 0.0000 0.0000 0.1024  1 H 0.98

Output
- volume (A^3/atom) = 29.108
- density (g/cm³) = 3.056

---

## x
First-principles (PBE) data for a relaxed Rb2HBrO crystal, as listed in the Alexandria database.

Cell: 7.1167 4.5327 9.0522 Å, 90.00 108.09 90.00°
Closest atoms and distances in Å follow each position.
Positions (direct):
Rb 0.2059 0.2500 0.3846  2 O 2.95, 2 H 3.05
Rb 0.2129 0.2500 0.9634  3 O 2.71-3.00
Rb 0.7871 0.7500 0.0366  3 O 2.71-3.00
Rb 0.7941 0.7500 0.6154  2 O 2.95, 2 H 3.05
H 0.3294 0.7500 0.2087  1 O 0.98
H 0.6706 0.2500 0.7913  1 O 0.98
Br 0.3227 0.7500 0.6994  2 H 3.27, 5 Rb 3.53-3.60
Br 0.6773 0.2500 0.3006  2 H 3.27, 5 Rb 3.53-3.60
O 0.1851 0.7500 0.1719  1 H 0.98
O 0.8149 0.2500 0.8281  1 H 0.98

Output
- volume (A^3/atom) = 27.757
- density (g/cm³) = 3.205

---

Which is most stable, and by how much? x, by 24 meV/atom.